LiHgAu2 (PBEsol, relaxed); spin magnetization = 0.0 μB per formula unit; E_form = -0.270 eV per atom; calculated total energy = -2.866 eV per atom
1.0
2.982 0.000 0.000
0.000 4.004 0.000
0.000 0.000 5.740
Au Hg Li
2 1 1
direct
0.000 0.000 0.989
0.500 0.500 0.239
0.000 0.000 0.506
0.500 0.500 0.766

***

YSbP2 (PBEsol, relaxed); formation energy (no corrections) = -710 meV per atom; spin magnetization = 0.0 μB per formula unit; calculated total energy = -6.451 eV per atom
1.0
3.961 0.000 0.000
0.000 3.961 0.000
0.000 0.000 5.722
P Sb Y
2 1 1
direct
0.000 0.000 0.867
0.500 0.500 0.364
0.000 0.000 0.413
0.500 0.500 0.856